A plane-wave DFT calculation with PBE was carried out for GdDyErOs after structural relaxation.

Output
The value obtained for the electronic total energy is -0.31194 Ha/atom. Its space group is F-43m, No. 216. Its calculated volume is 23.712 Å³/atom. The calculation puts the energy of formation from the pure elements at 0.131 eV per atom.

Geometry as extended XYZ:
```
16
Lattice="7.239 0.000 0.000 0.000 7.239 0.000 0.000 0.000 7.239" Properties=species:S:1:pos:R:3 pbc="T T T"
Gd 0.000 0.000 0.000
Gd 0.000 3.620 3.620
Gd 3.620 0.000 3.620
Gd 3.620 3.620 0.000
Dy 0.000 0.000 3.620
Dy 0.000 3.620 0.000
Dy 3.620 0.000 0.000
Dy 3.620 3.620 3.620
Er 1.810 1.810 5.429
Er 1.810 5.429 1.810
Er 5.429 1.810 1.810
Er 5.429 5.429 5.429
Os 1.810 1.810 1.810
Os 1.810 5.429 5.429
Os 5.429 1.810 5.429
Os 5.429 5.429 1.810
```